Entry from the Alexandria database: MgHg2Sb after structural relaxation (PBE).

Cell and atoms, written as extended XYZ:
```
4
Lattice="3.1299 -4.6080 0.0000 3.1299 4.6080 0.0000 0.0000 0.0000 3.3934" Properties=species:S:1:pos:R:3 pbc="T T T"
Mg 0.0000 0.0000 0.0000
Hg 1.5650 2.3040 1.6967
Hg 1.5650 -2.3040 1.6967
Sb 3.1299 0.0000 0.0000
```

Output
raw formation energy	0.01	eV per atom
spin magnetization	0.00	μB/f.u.
ρ	9.284	Mg/m³

=====

Entry from the Alexandria database: MgHg2Sb2 after structural relaxation (PBE).

Cell and atoms, written as extended XYZ:
```
10
Lattice="7.8025 0.0000 0.0000 0.0000 7.8025 0.0000 0.0000 0.0000 4.2902" Properties=species:S:1:pos:R:3 pbc="T T T"
Mg 0.0000 0.0000 0.0000
Mg 3.9013 3.9013 0.0000
Hg 1.1775 2.7237 0.0000
Hg 2.7237 6.6250 0.0000
Hg 5.0788 1.1775 0.0000
Hg 6.6250 5.0788 0.0000
Sb 1.1643 5.0655 2.1451
Sb 2.7370 1.1643 2.1451
Sb 5.0655 6.6382 2.1451
Sb 6.6382 2.7370 2.1451
```

Output
raw formation energy	0.13	eV per atom
spin magnetization	0.00	μB/f.u.
relative energy among the computed polymorphs	0.29	eV per formula unit
ρ	8.507	Mg/m³

=====

Entry from the Alexandria database: Mg8Hg2Sb after structural relaxation (PBE).

Cell and atoms, written as extended XYZ:
```
11
Lattice="-2.3608 3.7420 7.0442 2.3608 -3.7420 7.0442 2.3608 3.7420 -7.0442" Properties=species:S:1:pos:R:3 pbc="T T T"
Mg 2.3608 2.0897 -2.2825
Mg 0.0000 0.0000 2.2101
Mg 0.0000 2.2426 0.0000
Mg 2.3608 2.0897 2.2825
Mg 0.0000 1.6523 4.7617
Mg 0.0000 5.2414 0.0000
Mg 0.0000 0.0000 11.8783
Mg 0.0000 1.6523 9.3266
Hg 2.3608 0.0000 4.4488
Hg 0.0000 3.7420 2.5954
Sb 2.3608 0.0000 0.0000
```

Output
raw formation energy	-0.14	eV per atom
spin magnetization	0.00	μB/f.u.
ρ	4.786	Mg/m³

=====

Entry from the Alexandria database: MgHg2Sb after structural relaxation (PBE).

Cell and atoms, written as extended XYZ:
```
4
Lattice="4.1177 0.0000 0.0000 0.0000 4.4570 0.0000 -1.9627 0.0000 5.7084" Properties=species:S:1:pos:R:3 pbc="T T T"
Mg 0.0000 0.0000 0.0000
Hg -0.8592 0.0000 2.8830
Hg 1.2065 2.2285 3.3022
Sb 2.0343 2.2285 0.3640
```

Output
raw formation energy	-0.05	eV per atom
spin magnetization	0.00	μB/f.u.
ρ	8.674	Mg/m³

=====

Entry from the Alexandria database: Mg2HgSb after structural relaxation (PBE).

Cell and atoms, written as extended XYZ:
```
4
Lattice="3.7800 0.0000 0.0000 0.0000 4.3339 0.0000 0.0000 0.0000 5.9579" Properties=species:S:1:pos:R:3 pbc="T T T"
Mg 0.0000 0.0000 0.0000
Mg 1.8900 2.1670 2.0466
Hg 1.8900 2.1670 5.0862
Sb 0.0000 0.0000 2.9504
```

Output
raw formation energy	-0.15	eV per atom
spin magnetization	0.00	μB/f.u.
relative energy among the computed polymorphs	0.28	eV per formula unit
ρ	6.311	Mg/m³

=====

Entry from the Alexandria database: Mg4HgSb after structural relaxation (PBE).

Cell and atoms, written as extended XYZ:
```
6
Lattice="0.0000 4.1521 4.1521 4.1521 0.0000 4.1521 4.1521 4.1521 0.0000" Properties=species:S:1:pos:R:3 pbc="T T T"
Mg 1.0352 1.0352 1.0352
Mg 3.1169 3.1169 1.0352
Mg 3.1169 1.0352 3.1169
Mg 1.0352 3.1169 3.1169
Hg 4.1521 4.1521 4.1521
Sb 6.2281 6.2281 6.2281
```

Output
raw formation energy	0.03	eV per atom
spin magnetization	0.00	μB/f.u.
ρ	4.867	Mg/m³

=====

Entry from the Alexandria database: MgHg2Sb after structural relaxation (PBE).

Cell and atoms, written as extended XYZ:
```
4
Lattice="5.2928 0.0000 0.0000 0.0000 5.2928 0.0000 0.0000 0.0000 3.5305" Properties=species:S:1:pos:R:3 pbc="T T T"
Mg 0.0000 0.0000 0.0000
Hg 0.0000 2.6464 1.7653
Hg 2.6464 0.0000 1.7653
Sb 2.6464 2.6464 0.0000
```

Output
raw formation energy	0.05	eV per atom
spin magnetization	0.00	μB/f.u.
ρ	9.188	Mg/m³

=====

Entry from the Alexandria database: MgHg2Sb after structural relaxation (PBE).

Cell and atoms, written as extended XYZ:
```
4
Lattice="-1.6556 2.3990 6.4996 1.6556 -2.3990 6.4996 1.6556 2.3990 -6.4996" Properties=species:S:1:pos:R:3 pbc="T T T"
Mg 0.0000 0.0000 0.0000
Hg 0.0000 0.0000 6.9236
Hg 0.0000 2.3990 4.1096
Sb 1.6556 0.0000 2.6050
```

Output
raw formation energy	-0.03	eV per atom
spin magnetization	0.00	μB/f.u.
ρ	8.800	Mg/m³

=====

Entry from the Alexandria database: MgHgSb after structural relaxation (PBE).

Cell and atoms, written as extended XYZ:
```
6
Lattice="4.2644 -2.4667 0.0000 4.2644 2.4667 0.0000 -0.0029 0.0000 8.4481" Properties=species:S:1:pos:R:3 pbc="T T T"
Mg 1.4107 0.0000 2.2713
Mg 7.1152 0.0000 6.1768
Hg 1.4245 0.0000 7.7329
Hg 7.1013 0.0000 0.7152
Sb 4.2565 0.0000 2.7708
Sb 4.2693 0.0000 5.6773
```

Output
raw formation energy	-0.14	eV per atom
spin magnetization	0.00	μB/f.u.
relative energy among the computed polymorphs	0.00	eV per formula unit
ρ	6.478	Mg/m³

=====

Entry from the Alexandria database: MgHg2Sb after structural relaxation (PBE).

Cell and atoms, written as extended XYZ:
```
4
Lattice="1.7574 1.0146 9.1393 -1.7574 1.0146 9.1393 0.0000 -2.0292 9.1393" Properties=species:S:1:pos:R:3 pbc="T T T"
Mg 0.0000 0.0000 0.0000
Hg 0.0000 0.0000 7.0603
Hg 0.0000 0.0000 20.3575
Sb 0.0000 0.0000 13.7089
```

Output
raw formation energy	-0.05	eV per atom
spin magnetization	0.00	μB/f.u.
ρ	9.294	Mg/m³

=====

Entry from the Alexandria database: MgHg2Sb after structural relaxation (PBE).

Cell and atoms, written as extended XYZ:
```
4
Lattice="2.2380 -2.4032 0.0000 2.2380 2.4032 0.0000 0.0000 0.0000 9.4658" Properties=species:S:1:pos:R:3 pbc="T T T"
Mg 0.0000 0.0000 0.0000
Hg 0.0000 0.0000 4.4945
Hg 2.2380 0.0000 1.9835
Sb 2.2380 0.0000 7.3641
```

Output
raw formation energy	-0.04	eV per atom
spin magnetization	0.00	μB/f.u.
ρ	8.925	Mg/m³

=====

Entry from the Alexandria database: Mg2HgSb after structural relaxation (PBE).

Cell and atoms, written as extended XYZ:
```
4
Lattice="3.2818 0.0000 0.0000 0.0000 3.2818 0.0000 0.0000 0.0000 9.1431" Properties=species:S:1:pos:R:3 pbc="T T T"
Mg 0.0000 0.0000 0.0000
Mg 1.6409 1.6409 2.2438
Hg 1.6409 1.6409 7.1255
Sb 0.0000 0.0000 4.3646
```

Output
raw formation energy	-0.04	eV per atom
spin magnetization	0.00	μB/f.u.
relative energy among the computed polymorphs	0.71	eV per formula unit
ρ	6.255	Mg/m³

=====

Entry from the Alexandria database: Mg5Hg2Sb3 after structural relaxation (PBE).

Cell and atoms, written as extended XYZ:
```
20
Lattice="2.3243 -14.5616 0.0000 2.3243 14.5616 0.0000 0.0000 0.0000 7.6183" Properties=species:S:1:pos:R:3 pbc="T T T"
Mg 2.3243 13.2700 3.8092
Mg 2.3243 11.0103 6.4179
Mg 2.3243 5.9244 4.1842
Mg 2.3243 5.8195 0.4932
Mg 2.3243 3.0150 5.6176
Mg 2.3243 -3.0150 1.8084
Mg 2.3243 -5.8195 4.3023
Mg 2.3243 -5.9244 0.3750
Mg 2.3243 -11.0103 2.6088
Mg 2.3243 -13.2700 0.0000
Hg 2.3243 9.6121 2.0922
Hg 2.3243 0.3030 2.6618
Hg 2.3243 -0.3030 6.4709
Hg 2.3243 -9.6121 5.9013
Sb 2.3243 12.9955 0.8799
Sb 2.3243 8.0727 6.2159
Sb 2.3243 2.9519 0.9262
Sb 2.3243 -2.9519 4.7354
Sb 2.3243 -8.0727 2.4068
Sb 2.3243 -12.9955 4.6891
```

Output
raw formation energy	-0.24	eV per atom
spin magnetization	0.00	μB/f.u.
ρ	5.719	Mg/m³